DFT (PBE) results for Er2InBi after structural relaxation.

a b c (Å): 4.137 4.137 8.670
angles (deg): 76.20 76.20 60.00
Fractional positions:
1 Er 0.255 0.255 0.235
2 Er 0.078 0.078 0.766
3 In 0.499 0.499 0.502
4 Bi 0.668 0.668 0.997

Results
DOS at the Fermi energy: 1.85 states/eV/cell
calculated total energy: -4.325 eV per atom
symmetry: R3m, No. 160
ΔH_f (0 K): -0.3885 eV per atom
energy above the lowest structure with this stoichiometry: 98 meV per atom

***

DFT (PBE) results for TlCdSnW2 after structural relaxation.

a b c (Å): 5.166 5.166 5.216
angles (deg): 90.00 90.00 90.00
Each line ends with the local moment (μB).
Fractional positions:
1 W 0.500 0.000 0.000  2.09
2 W 0.000 0.500 0.000  2.09
3 Tl 0.000 0.000 0.500  0.03
4 Sn 0.500 0.500 0.500  -0.12
5 Cd 0.000 0.000 0.000  0.06

Results
DOS at the Fermi energy: 6.27 states/eV/cell
calculated total energy: -4.330 eV per atom
symmetry: P4/mmm, No. 123
ΔH_f (0 K): 2.3085 eV per atom

***

DFT (PBE) results for SrTcN3 after structural relaxation.

a b c (Å): 5.546 3.999 8.019
angles (deg): 100.13 118.11 99.99
Fractional positions:
1 N 0.046 0.334 0.032
2 N 0.270 0.709 0.688
3 N 0.381 0.991 0.820
4 N 0.607 0.246 0.338
5 N 0.988 0.603 0.978
6 N 0.061 0.901 0.369
7 Sr 0.760 0.889 0.658
8 Sr 0.545 0.598 0.062
9 Tc 0.203 0.077 0.210
10 Tc 0.013 0.401 0.436

Results
DOS at the Fermi energy: 4.27 states/eV/cell
calculated total energy: -7.687 eV per atom
symmetry: P1, No. 1
ΔE_f (raw): -1.41 eV/f.u.

***

DFT (PBE) results for Pa2FeRe after structural relaxation.

a b c (Å): 4.817 4.817 4.817
angles (deg): 60.00 60.00 60.00
Each line ends with the local moment (μB).
Fractional positions:
1 Fe 0.000 0.000 0.000  1.25
2 Re 0.500 0.500 0.500  0.12
3 Pa 0.250 0.250 0.250  -0.29
4 Pa 0.750 0.750 0.750  -0.29

Results
DOS at the Fermi energy: 5.40 states/eV/cell
calculated total energy: -9.914 eV per atom
symmetry: Fm-3m, No. 225
ΔH_f (0 K): 0.0615 eV per atom
energy above the lowest structure with this stoichiometry: 49 meV per atom

***

DFT (PBE) results for MgPd8Pb2 after structural relaxation.

a b c (Å): 4.173 6.496 7.665
angles (deg): 108.28 105.79 90.00
Fractional positions:
1 Pd 0.860 0.807 0.720
2 Pd 0.140 0.193 0.280
3 Pd 0.587 0.453 0.174
4 Pd 0.413 0.547 0.826
5 Pd 0.036 0.731 0.072
6 Pd 0.964 0.269 0.928
7 Pd 0.671 0.915 0.342
8 Pd 0.329 0.085 0.658
9 Pb 0.214 0.663 0.427
10 Pb 0.786 0.337 0.573
11 Mg 0.500 0.000 0.000

Results
DOS at the Fermi energy: 5.89 states/eV/cell
calculated total energy: -4.893 eV per atom
symmetry: C2/m, No. 12
ΔH_f (0 K): -0.2969 eV per atom
energy above the lowest structure with this stoichiometry: 26 meV per atom

***

DFT (PBE) results for KCu3I after structural relaxation.

a b c (Å): 5.378 5.378 5.378
angles (deg): 90.00 90.00 90.00
Fractional positions:
1 Cu 0.000 0.000 0.500
2 Cu 0.000 0.500 0.000
3 Cu 0.500 0.000 0.000
4 K 0.000 0.000 0.000
5 I 0.500 0.500 0.500

Results
DOS at the Fermi energy: 6.89 states/eV/cell
calculated total energy: -1.544 eV per atom
symmetry: Pm-3m, No. 221
ΔE_f (raw): 7.22 eV/f.u.
energy above the lowest structure with this stoichiometry: 653 meV per atom